Entry 1:
An optimized crystal structure of KY, computed with PBE-GGA.

Cell: 6.263 3.504 8.096 Å, 90.00 90.00 90.00°
Fractional coordinates of all 4 atoms:
K (0.250, 0.000, 0.139)
K (0.750, 0.000, 0.861)
Y (0.250, 0.500, 0.593)
Y (0.750, 0.500, 0.407)

Summary:
SG: Pmma, No. 51
DFT total energy in eV/atom: -3.2076
N(E_F) in states/eV/f.u.: 2.87
Total magnetization in Bohr magnetons per cell: 0.612



Entry 2:
An optimized crystal structure of Tl2ZnMo, computed with PBE-GGA.

Cell: 9.532 9.532 9.532 Å, 19.33 19.33 19.33°
Fractional coordinates of all 4 atoms:
Tl (0.250, 0.250, 0.250)
Tl (0.750, 0.750, 0.750)
Zn (0.500, 0.500, 0.500)
Mo (0.000, 0.000, 0.000)

Summary:
SG: R-3m, No. 166
Distance to the lowest polymorph of the same formula in meV/atom: 144
N(E_F) in states/eV/f.u.: 2.93
Total magnetization in Bohr magnetons per cell: 0.746



Entry 3:
An optimized crystal structure of Zn2Cd2Pb, computed with PBE-GGA.

Cell: 8.430 8.430 3.118 Å, 90.00 90.00 90.00°
Fractional coordinates of all 10 atoms:
Zn (0.166, 0.334, 0.000)
Zn (0.334, 0.834, 0.000)
Zn (0.666, 0.166, 0.000)
Zn (0.834, 0.666, 0.000)
Cd (0.132, 0.632, 0.500)
Cd (0.368, 0.132, 0.500)
Cd (0.632, 0.868, 0.500)
Cd (0.868, 0.368, 0.500)
Pb (0.000, 0.000, 0.500)
Pb (0.500, 0.500, 0.500)

Summary:
SG: P4/mbm, No. 127
Distance to the lowest polymorph of the same formula in meV/atom: 16
N(E_F) in states/eV/f.u.: 1.91
Total magnetization in Bohr magnetons per cell: 0.000